Entry 1:
# La5HoAg6

An optimized crystal structure of La5HoAg6 (PBE, the Alexandria database).

```
12
Lattice="2.688 -8.092 0.000 2.688 8.092 0.000 0.000 0.000 7.518" Properties=species:S:1:pos:R:3 pbc="T T T"
La 0.000 0.000 0.000
La 2.688 2.750 0.000
La 2.688 2.688 3.759
La 2.688 -2.688 3.759
La 2.688 -2.750 0.000
Ho 0.000 0.000 3.759
Ag 2.688 5.510 1.951
Ag 2.688 5.510 5.567
Ag 2.688 0.000 1.990
Ag 2.688 0.000 5.528
Ag 2.688 -5.510 1.951
Ag 2.688 -5.510 5.567
```

Output
Uncorrected energy in eV/atom: -4.125
Density of states at the Fermi level in states/eV/cell: 10.08
Mass density in g cm⁻³: 7.6

---

Entry 2:
# LaHoAg

An optimized crystal structure of LaHoAg (PBE, the Alexandria database).

```
6
Lattice="4.896 0.000 0.000 0.000 4.896 0.000 0.000 0.000 7.529" Properties=species:S:1:pos:R:3 pbc="T T T"
La 1.224 1.224 0.925
La 3.672 3.672 6.605
Ho 1.224 3.672 3.765
Ho 3.672 1.224 3.765
Ag 1.224 1.224 5.483
Ag 3.672 3.672 2.047
```

Output
Uncorrected energy in eV/atom: -4.267
Density of states at the Fermi level in states/eV/cell: 7.33
Mass density in g cm⁻³: 7.6

---

Entry 3:
# LaHo2Ag4

An optimized crystal structure of LaHo2Ag4 (PBE, the Alexandria database).

```
7
Lattice="-3.752 3.752 3.368 3.752 -3.752 3.368 3.752 3.752 -3.368" Properties=species:S:1:pos:R:3 pbc="T T T"
La 0.000 0.000 0.000
Ho 3.752 0.000 0.000
Ho 0.000 3.752 0.000
Ag 1.876 1.876 -1.684
Ag 1.876 -1.876 1.684
Ag -1.876 1.876 1.684
Ag 1.876 1.876 1.684
```

Output
Uncorrected energy in eV/atom: -3.719
Density of states at the Fermi level in states/eV/cell: 5.26
Mass density in g cm⁻³: 7.9

---

Entry 4:
# La2HoAg4

An optimized crystal structure of La2HoAg4 (PBE, the Alexandria database).

```
7
Lattice="-2.732 2.732 6.486 2.732 -2.732 6.486 2.732 2.732 -6.486" Properties=species:S:1:pos:R:3 pbc="T T T"
La 0.000 0.000 2.810
La 0.000 0.000 10.162
Ho 0.000 0.000 6.486
Ag 2.732 0.000 1.446
Ag 2.732 0.000 5.040
Ag 0.000 2.732 1.446
Ag 0.000 2.732 5.040
```

Output
Uncorrected energy in eV/atom: -3.805
Density of states at the Fermi level in states/eV/cell: 7.41
Mass density in g cm⁻³: 7.5

---

Entry 5:
# LaHo4Ag

An optimized crystal structure of LaHo4Ag (PBE, the Alexandria database).

```
6
Lattice="3.601 0.000 0.000 0.000 3.601 0.000 0.000 0.000 13.761" Properties=species:S:1:pos:R:3 pbc="T T T"
La 0.000 0.000 0.000
Ho 0.000 0.000 5.036
Ho 0.000 0.000 8.725
Ho 1.801 1.801 2.567
Ho 1.801 1.801 11.194
Ag 1.801 1.801 6.881
```

Output
Uncorrected energy in eV/atom: -4.420
Density of states at the Fermi level in states/eV/cell: 8.49
Mass density in g cm⁻³: 8.4

---

Entry 6:
# LaHo3Ag

An optimized crystal structure of LaHo3Ag (PBE, the Alexandria database).

```
10
Lattice="5.883 -4.179 0.000 5.883 4.179 0.000 -4.387 0.000 6.537" Properties=species:S:1:pos:R:3 pbc="T T T"
La -0.709 0.000 1.995
La 8.088 0.000 4.543
Ho 2.483 1.693 1.928
Ho 1.754 0.000 4.744
Ho 4.895 1.693 4.610
Ho 2.483 -1.693 1.928
Ho 5.624 0.000 1.794
Ho 4.895 -1.693 4.610
Ag -0.871 0.000 6.154
Ag 8.249 0.000 0.383
```

Output
Uncorrected energy in eV/atom: -4.279
Density of states at the Fermi level in states/eV/cell: 13.78
Mass density in g cm⁻³: 7.7

---

What is the density of states at the Fermi level in the fifth record? 8.49 states/eV/cell

---

What did the second record say?
# LaHoAg

An optimized crystal structure of LaHoAg (PBE, the Alexandria database).

```
6
Lattice="4.896 0.000 0.000 0.000 4.896 0.000 0.000 0.000 7.529" Properties=species:S:1:pos:R:3 pbc="T T T"
La 1.224 1.224 0.925
La 3.672 3.672 6.605
Ho 1.224 3.672 3.765
Ho 3.672 1.224 3.765
Ag 1.224 1.224 5.483
Ag 3.672 3.672 2.047
```

Output
Uncorrected energy in eV/atom: -4.267
Density of states at the Fermi level in states/eV/cell: 7.33
Mass density in g cm⁻³: 7.6

---

Which of these has the lowest uncorrected energy? LaHo4Ag

---

Which value of mass density does entry 1 give? 7.6 g cm⁻³